Computed, not measured: an optimized crystal structure of Na2CrF4 at the GGA+U level of DFT.

Output
crystal system = tetragonal
ΔE to the lowest computed polymorph = 10.3 kJ per mole of atoms
space group = I4/mmm
V = 15.0 Å³/atom

Unit cell a=4.2636 b=4.2636 c=6.5147 alpha=109.10 beta=109.10 gamma=90.00
With the nearest neighbours (Å) after each atom.
Fractional positions:
Cr1 0.0000 0.0000 0.0000  6 F 2.00-2.13
F1 0.8268 0.8268 0.6536  1 Cr 2.00, 1 Na 2.17
F2 0.1732 0.1732 0.3464  1 Cr 2.00, 1 Na 2.17
F3 0.0000 0.5000 0.0000  2 Cr 2.13
F4 0.5000 0.0000 0.0000  2 Cr 2.13
Na1 0.6393 0.6393 0.2786  1 F 2.17
Na2 0.3607 0.3607 0.7214  1 F 2.17